Entry from the Alexandria database: a relaxed InTc2SbRu crystal (PBE).

Lattice parameters (Å, degrees): 4.760 4.760 4.949 90.00 90.00 90.00
Space group P4/mmm (No. 123)
One atom of each set of equivalent atoms:
In 0.000 0.000 0.000 (multiplicity 1)
Tc 0.000 0.500 0.500 (multiplicity 2)
Sb 0.500 0.500 0.000 (multiplicity 1)
Ru 0.500 0.500 0.500 (multiplicity 1)

## Properties
Energy relative to the elements, uncorrected: 121.2 kJ/mol of atoms
DOS(E_F): 6.1 states/eV/cell
Density: 7.90 g cm⁻³
DFT total energy: -0.2248 Ha/atom

Entry from the Alexandria database: a relaxed InSb2TeRu crystal (PBE).

Lattice parameters (Å, degrees): 5.113 5.113 5.226 90.00 90.00 90.00
Space group P4/mmm (No. 123)
One atom of each set of equivalent atoms:
In 0.000 0.000 0.000 (multiplicity 1)
Sb 0.000 0.500 0.500 (multiplicity 2)
Te 0.500 0.500 0.000 (multiplicity 1)
Ru 0.000 0.000 0.500 (multiplicity 1)

## Properties
ΔE to the lowest computed polymorph: 0 meV/atom
Energy relative to the elements, uncorrected: 8.9 kJ/mol of atoms
DOS(E_F): 2.3 states/eV/cell
Density: 7.14 g cm⁻³
DFT total energy: -0.1686 Ha/atom

Entry from the Alexandria database: a relaxed InSb2TeRu crystal (PBE).

Lattice parameters (Å, degrees): 5.028 5.028 5.846 90.00 90.00 90.00
Space group P4/mmm (No. 123)
One atom of each set of equivalent atoms:
In 0.000 0.000 0.000 (multiplicity 1)
Sb 0.000 0.500 0.500 (multiplicity 2)
Te 0.500 0.500 0.000 (multiplicity 1)
Ru 0.500 0.500 0.500 (multiplicity 1)

## Properties
ΔE to the lowest computed polymorph: 212 meV/atom
Energy relative to the elements, uncorrected: 29.3 kJ/mol of atoms
DOS(E_F): 3.7 states/eV/cell
Density: 6.60 g cm⁻³
DFT total energy: -0.1608 Ha/atom

Entry from the Alexandria database: a relaxed ZrInSbRu2 crystal (PBE).

Lattice parameters (Å, degrees): 4.835 4.835 5.465 90.00 90.00 90.00
Space group P4/mmm (No. 123)
One atom of each set of equivalent atoms:
Zr 0.000 0.000 0.000 (multiplicity 1)
In 0.000 0.000 0.500 (multiplicity 1)
Sb 0.500 0.500 0.500 (multiplicity 1)
Ru 0.000 0.500 0.000 (multiplicity 2)

## Properties
Energy relative to the elements, uncorrected: 117.1 kJ/mol of atoms
DOS(E_F): 6.3 states/eV/cell
Density: 6.89 g cm⁻³
DFT total energy: -0.2050 Ha/atom

Entry from the Alexandria database: a relaxed ScInRu2 crystal (PBE).

Lattice parameters (Å, degrees): 4.159 4.159 18.002 90.00 90.00 90.00
Space group I-42d (No. 122)
One atom of each set of equivalent atoms:
Sc 0.000 0.000 0.000 (multiplicity 4)
In 0.000 0.000 0.500 (multiplicity 4)
Ru 0.176 0.250 0.125 (multiplicity 8)

## Properties
DOS(E_F): 11.2 states/eV/cell
Density: 7.72 g cm⁻³
DFT total energy: -0.2419 Ha/atom
DFT formation energy: 0.32 eV per atom

Entry from the Alexandria database: a relaxed ScInRu2 crystal (PBE).

Lattice parameters (Å, degrees): 10.195 3.123 4.568 90.00 111.11 90.00
Space group Cm (No. 8)
One atom of each set of equivalent atoms:
Sc 0.000 0.000 0.000 (multiplicity 2)
In 0.276 0.500 0.348 (multiplicity 2)
Ru 0.024 0.500 0.504 (multiplicity 2)
Ru 0.243 0.000 0.826 (multiplicity 2)

## Properties
DOS(E_F): 4.4 states/eV/cell
Density: 8.86 g cm⁻³
DFT total energy: -0.2630 Ha/atom
DFT formation energy: -0.25 eV per atom

Entry from the Alexandria database: a relaxed Sc2InRu3 crystal (PBE).

Lattice parameters (Å, degrees): 4.480 13.594 3.278 90.00 90.00 90.00
Space group Cmmm (No. 65)
One atom of each set of equivalent atoms:
Sc 0.000 0.164 0.000 (multiplicity 4)
In 0.000 0.500 0.000 (multiplicity 2)
Ru 0.000 0.000 0.500 (multiplicity 2)
Ru 0.000 0.331 0.500 (multiplicity 4)

## Properties
DOS(E_F): 16.0 states/eV/cell
Density: 8.45 g cm⁻³
DFT total energy: -0.2784 Ha/atom
DFT formation energy: -0.37 eV per atom

Entry from the Alexandria database: a relaxed ScInRu2 crystal (PBE).

Lattice parameters (Å, degrees): 8.767 3.051 5.242 90.00 102.19 90.00
Space group C2/m (No. 12)
One atom of each set of equivalent atoms:
Sc 0.000 0.000 0.000 (multiplicity 2)
In 0.000 0.500 0.500 (multiplicity 2)
Ru 0.246 0.500 0.230 (multiplicity 4)

## Properties
DOS(E_F): 7.7 states/eV/cell
Density: 8.77 g cm⁻³
DFT total energy: -0.2563 Ha/atom
DFT formation energy: -0.07 eV per atom

Entry from the Alexandria database: a relaxed ScInRu crystal (PBE).

Lattice parameters (Å, degrees): 6.402 6.402 6.402 90.00 90.00 90.00
Space group F-43m (No. 216)
One atom of each set of equivalent atoms:
Sc 0.000 0.000 0.000 (multiplicity 4)
In 0.250 0.250 0.750 (multiplicity 4)
Ru 0.250 0.250 0.250 (multiplicity 4)

## Properties
DOS(E_F): 2.8 states/eV/cell
Density: 6.60 g cm⁻³
DFT total energy: -0.2118 Ha/atom
DFT formation energy: 0.35 eV per atom

Entry from the Alexandria database: a relaxed ScInRu2 crystal (PBE).

Lattice parameters (Å, degrees): 2.993 4.051 5.624 90.00 90.16 90.00
Space group Pm (No. 6)
One atom of each set of equivalent atoms:
Sc 0.000 0.000 0.000 (multiplicity 1)
In 0.501 0.500 0.297 (multiplicity 1)
Ru 0.001 0.000 0.547 (multiplicity 1)
Ru 0.500 0.500 0.777 (multiplicity 1)

## Properties
DOS(E_F): 4.2 states/eV/cell
Density: 8.81 g cm⁻³
DFT total energy: -0.2578 Ha/atom
DFT formation energy: -0.11 eV per atom

Entry from the Alexandria database: a relaxed ScInRu2 crystal (PBE).

Lattice parameters (Å, degrees): 3.371 4.172 4.843 90.00 90.00 90.00
Space group Pmmm (No. 47)
One atom of each set of equivalent atoms:
Sc 0.000 0.000 0.000 (multiplicity 1)
In 0.500 0.000 0.500 (multiplicity 1)
Ru 0.000 0.500 0.500 (multiplicity 1)
Ru 0.500 0.500 0.000 (multiplicity 1)

## Properties
DOS(E_F): 3.9 states/eV/cell
Density: 8.82 g cm⁻³
DFT total energy: -0.2565 Ha/atom
DFT formation energy: -0.07 eV per atom

Entry from the Alexandria database: a relaxed Sc2In2Ru crystal (PBE).

Lattice parameters (Å, degrees): 3.268 3.268 19.513 90.00 90.00 90.00
Space group I4/mmm (No. 139)
One atom of each set of equivalent atoms:
Sc 0.000 0.000 0.079 (multiplicity 4)
In 0.000 0.000 0.308 (multiplicity 4)
Ru 0.000 0.000 0.500 (multiplicity 2)

## Properties
ΔE to the lowest computed polymorph: 0 meV/atom
DOS(E_F): 2.9 states/eV/cell
Density: 6.70 g cm⁻³
DFT total energy: -0.2166 Ha/atom
DFT formation energy: -0.41 eV per atom

Q: The lowest DOS(E_F) belongs to which entry?
A: number 2